Below is a geometry-optimized Pr4SiPdBr2 structure, with properties calculated at the PBE level.

It has space group P2/m (No. 10), with a = 7.652 Å, b = 4.195 Å, c = 7.693 Å, α = 90.00°, β = 107.54° and γ = 90.00°. Symmetry generates all atoms from Pr at (0.210, 0.000, 0.235), Pr at (0.218, 0.500, 0.733), Si at (0.000, 0.000, 0.500), Pd at (0.000, 0.500, 0.000), Br at (0.500, 0.000, 0.000) and Br at (0.500, 0.500, 0.500).

The calculation puts the density of states at the Fermi level at 6.67 states/eV per cell. For the formation energy (no corrections), the calculation gives -0.997 eV/atom. The total energy comes out at -0.3772 Ry per atom.



Below is a geometry-optimized BaCaRe2 structure, with properties calculated at the PBE level.

It has space group Cmmm (No. 65), with a = 3.859 Å, b = 4.246 Å, c = 10.695 Å, α = 90.00°, β = 90.00° and γ = 90.00°. Symmetry generates all atoms from Ba at (0.000, 0.000, 0.000), Ca at (0.000, 0.000, 0.500) and Re at (0.000, 0.500, 0.269).

The calculation puts the density of states at the Fermi level at 8.15 states/eV per cell. The total energy comes out at -0.4363 Ry per atom.